1.
Below is a relaxed ScReMo2 crystal, with properties calculated at the PBE level.

* E_form: 0.29 eV/atom
* energy above the most stable polymorph in this dataset: 33.2 kJ per mole of atoms
* volume: 16.821 Å³ per atom
* M_tot: 0.0000 μB per atom

Unit cell a=2.9067 b=2.9067 c=27.5861 alpha=90.00 beta=90.00 gamma=120.00
Space group R-3m (No. 166, hexagonal axes)
Unique sites:
Sc  0.0000  0.0000  0.0000 x3
Re  0.0000  0.0000  0.5000 x3
Mo  0.0000  0.0000  0.2450 x6

---

2.
Below is a relaxed ScRe2Mo crystal, with properties calculated at the PBE level.

* E_form: -0.02 eV/atom
* energy above the most stable polymorph in this dataset: 4.7 kJ per mole of atoms
* volume: 16.015 Å³ per atom
* M_tot: 0.0000 μB per atom

Unit cell a=2.788 b=4.469 c=5.231 alpha=90.00 beta=100.64 gamma=90.00
Space group Pm (No. 6)
Unique sites:
Sc  0.000  0.000  0.000 x1
Re  0.267  0.500  0.749 x1
Re  0.510  0.000  0.502 x1
Mo  0.734  0.500  0.249 x1

---

3.
Below is a relaxed Sc4ReMo2 crystal, with properties calculated at the PBE level.

* E_form: 0.80 eV/atom
* volume: 24.598 Å³ per atom
* M_tot: 0.0003 μB per atom

Unit cell a=5.181 b=5.181 c=12.831 alpha=90.00 beta=90.00 gamma=90.00
Space group I4/mmm (No. 139)
Unique sites:
Sc  0.000  0.000  0.193 x4
Sc  0.000  0.500  0.000 x4
Re  0.000  0.000  0.000 x2
Mo  0.000  0.000  0.412 x4

---

4.
Below is a relaxed ScRe2Mo crystal, with properties calculated at the PBE level.

* E_form: -0.07 eV/atom
* energy above the most stable polymorph in this dataset: 0.3 kJ per mole of atoms
* volume: 15.979 Å³ per atom
* M_tot: 0.0000 μB per atom

Unit cell a=6.347 b=6.347 c=6.347 alpha=90.00 beta=90.00 gamma=90.00
Space group Fm-3m (No. 225)
Unique sites:
Sc  0.000  0.000  0.000 x4
Re  0.250  0.250  0.250 x8
Mo  0.000  0.000  0.500 x4

---

5.
Below is a relaxed ScRe2Mo crystal, with properties calculated at the PBE level.

* E_form: -0.07 eV/atom
* energy above the most stable polymorph in this dataset: 0.2 kJ per mole of atoms
* volume: 15.871 Å³ per atom
* M_tot: 0.0000 μB per atom

Unit cell a=4.481 b=4.481 c=6.324 alpha=90.00 beta=90.00 gamma=90.00
Space group I-4m2 (No. 119)
Unique sites:
Sc  0.000  0.000  0.000 x2
Re  0.000  0.000  0.500 x2
Re  0.000  0.500  0.750 x2
Mo  0.000  0.500  0.250 x2

---

6.
Below is a relaxed Sc3ReMo crystal, with properties calculated at the PBE level.

* E_form: 0.85 eV/atom
* energy above the most stable polymorph in this dataset: 0.0 kJ per mole of atoms
* volume: 25.026 Å³ per atom
* M_tot: 0.7416 μB per atom

Unit cell a=5.002 b=5.002 c=5.002 alpha=90.00 beta=90.00 gamma=90.00
Space group Pm-3m (No. 221)
Unique sites:
Sc  0.000  0.000  0.500 x3
Re  0.000  0.000  0.000 x1
Mo  0.500  0.500  0.500 x1

---

7.
Below is a relaxed ScReMo2 crystal, with properties calculated at the PBE level.

* E_form: 0.24 eV/atom
* energy above the most stable polymorph in this dataset: 28.8 kJ per mole of atoms
* volume: 16.632 Å³ per atom
* M_tot: 0.0000 μB per atom

Unit cell a=5.295 b=9.258 c=2.714 alpha=90.00 beta=90.00 gamma=90.00
Space group Cmmm (No. 65)
Unique sites:
Sc  0.000  0.000  0.000 x2
Re  0.000  0.500  0.000 x2
Mo  0.250  0.250  0.500 x4

---

8.
Below is a relaxed ScReMo2 crystal, with properties calculated at the PBE level.

* E_form: 0.07 eV/atom
* energy above the most stable polymorph in this dataset: 12.2 kJ per mole of atoms
* volume: 16.524 Å³ per atom
* M_tot: 0.0000 μB per atom

Unit cell a=3.188 b=4.550 c=9.113 alpha=90.00 beta=90.00 gamma=90.00
Space group Cmm2 (No. 35)
Unique sites:
Sc  0.000  0.000  0.000 x2
Re  0.000  0.500  0.743 x2
Mo  0.000  0.000  0.506 x2
Mo  0.000  0.500  0.266 x2

---

9.
Below is a relaxed ScReMo2 crystal, with properties calculated at the PBE level.

* E_form: 0.26 eV/atom
* energy above the most stable polymorph in this dataset: 29.9 kJ per mole of atoms
* volume: 16.654 Å³ per atom
* M_tot: 0.0000 μB per atom

Unit cell a=2.724 b=4.636 c=5.275 alpha=90.00 beta=90.00 gamma=90.00
Space group Pmm2 (No. 25)
Unique sites:
Sc  0.000  0.000  0.000 x1
Re  0.500  0.500  0.754 x1
Mo  0.000  0.000  0.504 x1
Mo  0.500  0.500  0.250 x1

---

10.
Below is a relaxed ScReMo2 crystal, with properties calculated at the PBE level.

* E_form: 0.13 eV/atom
* energy above the most stable polymorph in this dataset: 18.0 kJ per mole of atoms
* volume: 16.654 Å³ per atom
* M_tot: 0.0000 μB per atom

Unit cell a=3.192 b=4.559 c=9.157 alpha=90.00 beta=90.00 gamma=90.00
Space group Cmmm (No. 65)
Unique sites:
Sc  0.000  0.000  0.000 x2
Re  0.000  0.000  0.500 x2
Mo  0.000  0.500  0.265 x4

---

11.
Below is a relaxed ScRe2Mo crystal, with properties calculated at the PBE level.

* E_form: -0.05 eV/atom
* energy above the most stable polymorph in this dataset: 2.0 kJ per mole of atoms
* volume: 16.042 Å³ per atom
* M_tot: 0.0000 μB per atom

Unit cell a=3.157 b=4.507 c=9.017 alpha=90.00 beta=90.00 gamma=90.00
Space group Immm (No. 71)
Unique sites:
Sc  0.000  0.000  0.000 x2
Re  0.000  0.500  0.240 x4
Mo  0.000  0.000  0.500 x2

---

12.
Below is a relaxed ScReTcMo crystal, with properties calculated at the PBE level.

* E_form: -0.13 eV/atom
* volume: 15.892 Å³ per atom
* M_tot: 0.0000 μB per atom

Unit cell a=6.335 b=6.335 c=6.335 alpha=90.00 beta=90.00 gamma=90.00
Space group F-43m (No. 216)
Unique sites:
Sc  0.000  0.000  0.000 x4
Re  0.250  0.250  0.750 x4
Tc  0.250  0.250  0.250 x4
Mo  0.000  0.000  0.500 x4